DFT (PBE) results for CaIn2Ni2 after structural relaxation.

Cell lengths 6.1475, 6.1475, 6.1475 Å; angles 138.35, 138.35, 60.37 degrees
With the nearest neighbours (Å) after each atom.
Positions (direct):
1 Ca 0.0000 0.0000 0.0000  8 Ni 3.30, 8 In 3.44
2 In 0.2500 0.7500 0.5000  4 Ni 2.66
3 In 0.7500 0.2500 0.5000  4 Ni 2.66
4 Ni 0.3922 0.3922 0.0000  1 Ni 2.29
5 Ni 0.6078 0.6078 0.0000  1 Ni 2.29

Values from the calculation:
* Fermi-level density of states: 3.54 states/eV/f.u.
* polymorph energy (0 for the lowest one): 26.2 kJ/mol of formula units

***

DFT (PBE) results for Ca2InNi after structural relaxation.

Cell lengths 3.5032, 3.4843, 7.9933 Å; angles 90.00, 90.12, 90.00 degrees
With the nearest neighbours (Å) after each atom.
Positions (direct):
1 Ca 0.0007 0.0000 0.2887  4 Ni 2.99-3.00
2 Ca 0.9993 0.0000 0.7113  4 Ni 2.99-3.00
3 In 0.5000 0.5000 0.0000  8 Ca 3.38, 4 In 3.48-3.50
4 Ni 0.5000 0.5000 0.5000  8 Ca 2.99-3.00

Values from the calculation:
* Fermi-level density of states: 2.13 states/eV/f.u.
* raw total energy: -3.334 eV/atom

***

DFT (PBE) results for CaIn12Ni6 after structural relaxation.

Cell lengths 7.6888, 7.6888, 7.6888 Å; angles 105.22, 105.22, 105.22 degrees
With the nearest neighbours (Å) after each atom.
Positions (direct):
1 Ca 0.0000 0.0000 0.0000  6 In 3.55
2 In 0.1207 0.5000 0.8793  4 Ni 2.66-2.74, 1 In 2.95
3 In 0.1207 0.8793 0.5000  4 Ni 2.66-2.74, 1 In 2.95
4 In 0.1607 0.4185 0.4185  3 Ni 2.63-2.71
5 In 0.4185 0.1607 0.4185  3 Ni 2.63-2.71
6 In 0.4185 0.4185 0.1607  3 Ni 2.63-2.71
7 In 0.5000 0.1207 0.8793  4 Ni 2.66-2.74, 1 In 2.95
8 In 0.5000 0.8793 0.1207  4 Ni 2.66-2.74, 1 In 2.95
9 In 0.5815 0.5815 0.8393  3 Ni 2.63-2.71
10 In 0.5815 0.8393 0.5815  3 Ni 2.63-2.71
11 In 0.8393 0.5815 0.5815  3 Ni 2.63-2.71
12 In 0.8793 0.1207 0.5000  4 Ni 2.66-2.74, 1 In 2.95
13 In 0.8793 0.5000 0.1207  4 Ni 2.66-2.74, 1 In 2.95
14 Ni 0.2696 0.2696 0.6932  7 In 2.63-2.74
15 Ni 0.2696 0.6932 0.2696  7 In 2.63-2.74
16 Ni 0.3068 0.7304 0.7304  7 In 2.63-2.74
17 Ni 0.6932 0.2696 0.2696  7 In 2.63-2.74
18 Ni 0.7304 0.3068 0.7304  7 In 2.63-2.74
19 Ni 0.7304 0.7304 0.3068  7 In 2.63-2.74

Values from the calculation:
* Fermi-level density of states: 8.24 states/eV/f.u.
* raw total energy: -3.733 eV/atom

***

DFT (PBE) results for Ca3In3Ni2 after structural relaxation.

Cell lengths 8.0662, 16.0111, 5.9872 Å; angles 90.00, 90.00, 90.00 degrees
With the nearest neighbours (Å) after each atom.
Positions (direct):
1 Ca 0.0369 0.1095 0.1076  3 Ni 3.04-3.26, 7 In 3.23-3.39
2 Ca 0.0369 0.3905 0.1076  3 Ni 3.04-3.26, 7 In 3.23-3.39
3 Ca 0.1808 0.2500 0.6325  5 In 3.15-3.39, 4 Ni 3.18-3.33
4 Ca 0.3192 0.7500 0.1325  5 In 3.15-3.39, 4 Ni 3.18-3.33
5 Ca 0.4631 0.6095 0.6076  3 Ni 3.04-3.26, 7 In 3.23-3.39
6 Ca 0.4631 0.8905 0.6076  3 Ni 3.04-3.26, 7 In 3.23-3.39
7 Ca 0.5369 0.1095 0.3924  3 Ni 3.04-3.26, 7 In 3.23-3.39
8 Ca 0.5369 0.3905 0.3924  3 Ni 3.04-3.26, 7 In 3.23-3.39
9 Ca 0.6808 0.2500 0.8675  5 In 3.15-3.39, 4 Ni 3.18-3.33
10 Ca 0.8192 0.7500 0.3675  5 In 3.15-3.39, 4 Ni 3.18-3.33
11 Ca 0.9631 0.6095 0.8924  3 Ni 3.04-3.26, 7 In 3.23-3.39
12 Ca 0.9631 0.8905 0.8924  3 Ni 3.04-3.26, 7 In 3.23-3.39
13 In 0.1634 0.7500 0.6160  2 Ni 2.66
14 In 0.1743 0.0385 0.6072  3 Ni 2.62-2.72
15 In 0.1743 0.4615 0.6072  3 Ni 2.62-2.72
16 In 0.3257 0.5385 0.1072  3 Ni 2.62-2.72
17 In 0.3257 0.9615 0.1072  3 Ni 2.62-2.72
18 In 0.3366 0.2500 0.1160  2 Ni 2.66
19 In 0.6634 0.7500 0.8840  2 Ni 2.66
20 In 0.6743 0.0385 0.8928  3 Ni 2.62-2.72
21 In 0.6743 0.4615 0.8928  3 Ni 2.62-2.72
22 In 0.8257 0.5385 0.3928  3 Ni 2.62-2.72
23 In 0.8257 0.9615 0.3928  3 Ni 2.62-2.72
24 In 0.8366 0.2500 0.3840  2 Ni 2.66
25 Ni 0.1214 0.6084 0.3920  4 In 2.62-2.72
26 Ni 0.1214 0.8916 0.3920  4 In 2.62-2.72
27 Ni 0.3786 0.1084 0.8920  4 In 2.62-2.72
28 Ni 0.3786 0.3916 0.8920  4 In 2.62-2.72
29 Ni 0.6214 0.6084 0.1080  4 In 2.62-2.72
30 Ni 0.6214 0.8916 0.1080  4 In 2.62-2.72
31 Ni 0.8786 0.1084 0.6080  4 In 2.62-2.72
32 Ni 0.8786 0.3916 0.6080  4 In 2.62-2.72

Values from the calculation:
* Fermi-level density of states: 4.32 states/eV/f.u.
* polymorph energy (0 for the lowest one): 16.7 kJ/mol of formula units

***

DFT (PBE) results for CaIn4Ni4 after structural relaxation.

Cell lengths 8.5689, 8.5689, 5.1215 Å; angles 90.00, 90.00, 90.00 degrees
With the nearest neighbours (Å) after each atom.
Positions (direct):
1 Ca 0.2500 0.2500 0.2500  4 Ni 3.10
2 Ca 0.7500 0.7500 0.7500  4 Ni 3.10
3 In 0.1020 0.6273 0.1430  5 Ni 2.59-2.69
4 In 0.1273 0.8980 0.6430  5 Ni 2.59-2.69
5 In 0.3727 0.6020 0.6430  5 Ni 2.59-2.69
6 In 0.3980 0.8727 0.1430  5 Ni 2.59-2.69
7 In 0.6020 0.1273 0.8570  5 Ni 2.59-2.69
8 In 0.6273 0.3980 0.3570  5 Ni 2.59-2.69
9 In 0.8727 0.1020 0.3570  5 Ni 2.59-2.69
10 In 0.8980 0.3727 0.8570  5 Ni 2.59-2.69
11 Ni 0.0678 0.5902 0.6413  1 Ni 2.42, 5 In 2.59-2.69
12 Ni 0.0902 0.9322 0.1413  1 Ni 2.42, 5 In 2.59-2.69
13 Ni 0.4098 0.5678 0.1413  1 Ni 2.42, 5 In 2.59-2.69
14 Ni 0.4322 0.9098 0.6413  1 Ni 2.42, 5 In 2.59-2.69
15 Ni 0.5678 0.0902 0.3587  1 Ni 2.42, 5 In 2.59-2.69
16 Ni 0.5902 0.4322 0.8587  1 Ni 2.42, 5 In 2.59-2.69
17 Ni 0.9098 0.0678 0.8587  1 Ni 2.42, 5 In 2.59-2.69
18 Ni 0.9322 0.4098 0.3587  1 Ni 2.42, 5 In 2.59-2.69

Values from the calculation:
* Fermi-level density of states: 4.56 states/eV/f.u.
* polymorph energy (0 for the lowest one): 65.7 kJ/mol of formula units

***

DFT (PBE) results for CaIn4Ni after structural relaxation.

Cell lengths 10.9566, 10.9566, 8.5604 Å; angles 90.00, 90.00, 161.68 degrees
With the nearest neighbours (Å) after each atom.
Positions (direct):
1 Ca 0.2292 0.7708 0.7500  2 Ni 2.86
2 Ca 0.7708 0.2292 0.2500  2 Ni 2.86
3 In 0.0741 0.9259 0.7500  10 In 3.19-3.49, 1 Ca 3.35
4 In 0.3556 0.6444 0.5301  2 Ni 2.61
5 In 0.3556 0.6444 0.9699  2 Ni 2.61
6 In 0.5000 0.5000 0.0000  8 In 3.13-3.49
7 In 0.5000 0.5000 0.5000  8 In 3.13-3.49
8 In 0.6444 0.3556 0.0301  2 Ni 2.61
9 In 0.6444 0.3556 0.4699  2 Ni 2.61
10 In 0.9259 0.0741 0.2500  10 In 3.19-3.49, 1 Ca 3.35
11 Ni 0.1661 0.8339 0.2500  4 In 2.61, 2 Ca 2.86
12 Ni 0.8339 0.1661 0.7500  4 In 2.61, 2 Ca 2.86

Values from the calculation:
* Fermi-level density of states: 3.86 states/eV/f.u.
* raw total energy: -3.127 eV/atom

***

DFT (PBE) results for Ca3In8Ni3 after structural relaxation.

Cell lengths 8.8043, 8.8043, 9.2022 Å; angles 121.26, 121.26, 31.73 degrees
With the nearest neighbours (Å) after each atom.
Positions (direct):
1 Ca 0.0000 0.0000 0.0000  8 In 3.34-3.43, 4 Ni 3.73
2 Ca 0.2808 0.2808 0.2824  3 Ni 3.08-3.36, 9 In 3.19-3.42
3 Ca 0.7192 0.7192 0.7176  3 Ni 3.08-3.36, 9 In 3.19-3.42
4 In 0.1365 0.1365 0.4367  1 Ni 2.67
5 In 0.1484 0.1484 0.8537  4 Ni 2.65-2.84
6 In 0.3517 0.3517 0.7509  1 Ni 2.57
7 In 0.4899 0.4899 0.3238  3 Ni 2.63-2.86
8 In 0.5101 0.5101 0.6762  3 Ni 2.63-2.86
9 In 0.6483 0.6483 0.2491  1 Ni 2.57
10 In 0.8516 0.8516 0.1463  4 Ni 2.65-2.84
11 In 0.8635 0.8635 0.5633  1 Ni 2.67
12 Ni 0.0000 0.0000 0.5000  8 In 2.67-2.86
13 Ni 0.3358 0.3358 0.0137  5 In 2.57-2.68
14 Ni 0.6642 0.6642 0.9863  5 In 2.57-2.68

Values from the calculation:
* Fermi-level density of states: 4.92 states/eV/f.u.
* raw total energy: -3.510 eV/atom

***

DFT (PBE) results for Ca8In2Ni after structural relaxation.

Cell lengths 9.7008, 9.7008, 7.2252 Å; angles 108.20, 108.20, 33.01 degrees
With the nearest neighbours (Å) after each atom.
Positions (direct):
1 Ca 0.0198 0.0198 0.2872  1 In 3.23, 2 Ni 3.23, 5 Ca 3.39-3.58
2 Ca 0.2059 0.2059 0.7843  3 In 3.24-3.46, 3 Ca 3.60-3.62
3 Ca 0.3518 0.3518 0.5515  1 Ni 2.90
4 Ca 0.4049 0.4049 0.0807  1 Ni 2.97
5 Ca 0.5951 0.5951 0.9193  1 Ni 2.97
6 Ca 0.6482 0.6482 0.4485  1 Ni 2.90
7 Ca 0.7941 0.7941 0.2157  3 In 3.24-3.46, 3 Ca 3.60-3.62
8 Ca 0.9802 0.9802 0.7128  1 In 3.23, 2 Ni 3.23, 5 Ca 3.39-3.58
9 In 0.1806 0.1806 0.2071  9 Ca 3.23-3.51
10 In 0.8194 0.8194 0.7929  9 Ca 3.23-3.51
11 Ni 0.5000 0.5000 0.5000  8 Ca 2.90-3.23

Values from the calculation:
* Fermi-level density of states: 10.72 states/eV/f.u.
* raw total energy: -2.686 eV/atom